Density functional theory data (GGA-PBEsol) for a relaxed Fe2TeW crystal.

a = 3.238 Å, b = 4.069 Å, c = 4.349 Å
α = 90.00°, β = 90.00°, γ = 90.00°
Sites, in units of the cell vectors:
Fe1 0.000 0.000 0.000
Fe2 0.500 0.000 0.500
Te1 0.000 0.500 0.500
W1 0.500 0.500 0.000

Results
Total energy (eV/cell): -33.10
Energy relative to the elements, uncorrected (meV/atom): 540